# Tm2Ga2Cu3

A relaxed Tm2Ga2Cu3 crystal (PBE, Alexandria).

abc: 3.9906 6.9109 9.3166
angles: 90.00 102.37 90.00
With the nearest neighbours (Å) after each atom.
Element x y z (fractional)
Cu 0.2264 0.7500 0.4528  6 Ga 2.50-2.64
Tm 0.0548 0.7500 0.1096  9 Cu 2.99-3.12
Cu 0.5586 0.4286 0.1172  2 Cu 2.35-2.47, 1 Ga 2.52
Ga 0.3122 0.0579 0.6243  4 Cu 2.50-2.64, 1 Ga 2.66
Ga 0.3122 0.4421 0.6243  4 Cu 2.50-2.64, 1 Ga 2.66
Cu 0.4414 0.9286 0.8828  2 Cu 2.35-2.47, 1 Ga 2.52
Cu 0.4414 0.5714 0.8828  2 Cu 2.35-2.47, 1 Ga 2.52
Ga 0.6878 0.5579 0.3757  4 Cu 2.50-2.64, 1 Ga 2.66
Tm 0.8486 0.7500 0.6973  6 Cu 2.89-2.99, 6 Ga 2.99-3.21
Tm 0.9452 0.2500 0.8904  9 Cu 2.99-3.12
Ga 0.6878 0.9421 0.3757  4 Cu 2.50-2.64, 1 Ga 2.66
Tm 0.1514 0.2500 0.3027  6 Cu 2.89-2.99, 6 Ga 2.99-3.21
Cu 0.5586 0.0714 0.1172  2 Cu 2.35-2.47, 1 Ga 2.52
Cu 0.7736 0.2500 0.5472  6 Ga 2.50-2.64

Output
DOS at the Fermi energy, states/eV/cell: 8.18
Energy relative to the lowest polymorph listed for this composition, meV per atom: 0